# Sc5ZnPt

Sc5ZnPt after structural relaxation (PBE, Alexandria via LeMat-Bulk).

Properties
- Total magnetic moment: 0.00 μB per cell
- ΔE_f: -0.37 eV per atom

a = 8.225 Å, b = 8.371 Å, c = 8.997 Å
α = 90.00°, β = 93.17°, γ = 90.00°
Space group C2/c (No. 15)
Inequivalent atoms, fractional coordinates:
Sc 0.000 0.150 0.250 [4 per cell]
Sc 0.161 0.222 0.660 [8 per cell]
Sc 0.177 0.410 0.002 [8 per cell]
Zn 0.000 0.480 0.250 [4 per cell]
Pt 0.000 0.000 0.000 [4 per cell]